A plane-wave DFT calculation with PBE was carried out for an optimized crystal structure of NaHf2TaBi.

Cell lengths 5.2093, 5.5329, 5.2093 Å; angles 90.00, 90.00, 90.00 degrees
Closest atoms and distances in Å follow each position.
Element x y z (fractional)
Na  0.5000  0.5000  0.5000  4 Bi 3.68, 8 Hf 3.80
Hf  0.0000  0.0000  0.5000  2 Ta 2.60
Hf  0.5000  0.0000  0.0000  2 Ta 2.60
Bi  0.0000  0.5000  0.0000  2 Ta 2.77
Ta  0.0000  0.0000  0.0000  4 Hf 2.60, 2 Bi 2.77

Values from the calculation:
Total moment ... 0.00 Bohr magnetons per cell
DFT total energy ... -6.53 eV per atom
Formation energy from the elements ... 83.05 kJ/mol of atoms

A plane-wave DFT calculation with PBE was carried out for an optimized crystal structure of Hg2SbRh.

Cell lengths 5.2569, 5.2569, 3.3766 Å; angles 90.00, 90.00, 115.57 degrees
Closest atoms and distances in Å follow each position.
Element x y z (fractional)
Hg  0.5000  0.0000  0.0000  2 Hg 2.80, 4 Sb 3.12, 4 Rh 3.12
Hg  0.0000  0.5000  0.0000  2 Hg 2.80, 4 Sb 3.12, 4 Rh 3.12
Sb  0.5000  0.5000  0.5000  2 Rh 2.80, 8 Hg 3.12
Rh  0.0000  0.0000  0.5000  2 Sb 2.80, 8 Hg 3.12

Values from the calculation:
Total moment ... 0.00 Bohr magnetons per cell
DFT total energy ... -2.75 eV per atom